# PBE VHg3Bi, relaxed
# Calculated formation energy = 0.63 eV per atom
# Crystal system = cubic
# E above lowest polymorph = 0 meV/atom
# Total moment = 0.51 μB/atom
data_VHg3Bi
_chemical_formula_sum 'V1 Hg3 Bi1'
_space_group_name_H-M_alt 'P m -3 m'
_space_group_IT_number 221
_space_group_name_Hall '-P 4 2 3'
_cell_length_a 5.292
_cell_length_b 5.292
_cell_length_c 5.292
_cell_angle_alpha 90.00
_cell_angle_beta 90.00
_cell_angle_gamma 90.00
loop_
_atom_site_label
_atom_site_type_symbol
_atom_site_fract_x
_atom_site_fract_y
_atom_site_fract_z
V1 V 0.000 0.000 0.000
Hg1 Hg 0.000 0.000 0.500
Bi1 Bi 0.500 0.500 0.500